KIrS3 | PBE-GGA | relaxed

Geometry as extended XYZ:
```
5
Lattice="5.3509 0.0000 0.0000 0.0000 5.3509 0.0000 0.0000 0.0000 5.3509" Properties=species:S:1:pos:R:3 pbc="T T T"
K 0.0000 0.0000 0.0000
Ir 2.6755 2.6755 2.6755
S 0.0000 0.0000 2.6755
S 0.0000 2.6755 0.0000
S 2.6755 0.0000 0.0000
```

The total energy is -0.084 hartree per atom. The value obtained for the energy above the lowest structure with this stoichiometry is 2643.1 meV per atom.

***

K5IrS5 | PBE-GGA | relaxed

Geometry as extended XYZ:
```
11
Lattice="7.0051 -2.9931 0.0000 7.0051 2.9931 0.0000 -2.8494 0.0000 7.8869" Properties=species:S:1:pos:R:3 pbc="T T T"
K 0.0000 0.0000 0.0000
K 3.7372 0.0000 1.5402
K 2.7850 0.0000 5.1916
K 8.3758 0.0000 2.6953
K 7.4236 0.0000 6.3467
Ir -1.4247 0.0000 3.9434
S 0.6687 0.0000 2.9246
S -0.3448 0.0000 6.0953
S 5.5804 0.0000 3.9434
S 11.5056 0.0000 1.7916
S 10.4922 0.0000 4.9623
```

The total energy is -0.139 hartree per atom.

***

KIrS2 | PBE-GGA | relaxed

Geometry as extended XYZ:
```
8
Lattice="-3.6294 3.6294 3.6587 3.6294 -3.6294 3.6587 3.6294 3.6294 -3.6587" Properties=species:S:1:pos:R:3 pbc="T T T"
K 0.0000 0.0000 0.0000
K 0.0000 3.6294 1.8293
Ir 3.6294 0.0000 1.8293
Ir 0.0000 0.0000 3.6587
S 1.8147 -0.9927 2.7440
S 2.6367 1.8147 0.9147
S 1.8147 4.6221 -0.9147
S 0.9927 1.8147 4.5734
```

The total energy is -0.188 hartree per atom.

***

KIr2S | PBE-GGA | relaxed

Geometry as extended XYZ:
```
8
Lattice="-2.5317 2.5317 7.7096 2.5317 -2.5317 7.7096 2.5317 2.5317 -7.7096" Properties=species:S:1:pos:R:3 pbc="T T T"
K 2.5317 1.2658 1.9274
K 0.0000 1.2658 5.7822
Ir 0.0000 0.0000 0.0000
Ir 1.2658 1.2658 -3.8548
Ir 1.2658 -1.2658 3.8548
Ir 0.0000 2.5317 0.0000
S 2.5317 -1.2658 5.7822
S 0.0000 3.7975 1.9274
```

The total energy is -0.205 hartree per atom.

***

K3IrS | PBE-GGA | relaxed

Geometry as extended XYZ:
```
5
Lattice="6.0239 0.0000 0.0000 0.0000 6.0239 0.0000 0.0000 0.0000 6.0239" Properties=species:S:1:pos:R:3 pbc="T T T"
K 0.0000 0.0000 3.0120
K 0.0000 3.0120 0.0000
K 3.0120 0.0000 0.0000
Ir 3.0120 3.0120 3.0120
S 0.0000 0.0000 0.0000
```

The total energy is -0.109 hartree per atom. The value obtained for the energy above the lowest structure with this stoichiometry is 0.0 meV per atom.

***

K3U3IrS8 | PBE-GGA | relaxed

Geometry as extended XYZ:
```
15
Lattice="3.8201 2.2056 7.7353 -3.8201 2.2056 7.7353 0.0000 -4.4111 7.7353" Properties=species:S:1:pos:R:3 pbc="T T T"
K -1.9101 -1.1028 7.7353
K -1.9101 1.1028 15.4706
K 0.0000 2.2056 7.7353
U -3.8201 0.0000 11.6029
U -1.9101 1.1028 3.8676
U 1.9101 1.1028 3.8676
Ir 0.0000 0.0000 11.6029
S 0.0000 0.0000 5.4919
S -1.7585 -1.0153 13.0778
S 0.0000 -2.0305 10.1280
S -1.7585 1.0153 10.1280
S 1.7585 -1.0153 13.0778
S 0.0000 2.0305 13.0778
S 1.7585 1.0153 10.1280
S 0.0000 0.0000 17.7140
```

The total energy is -0.237 hartree per atom.

***

KV2IrS | PBE-GGA | relaxed

Geometry as extended XYZ:
```
5
Lattice="4.4310 0.0000 0.0000 0.0000 4.4310 0.0000 0.0000 0.0000 4.9258" Properties=species:S:1:pos:R:3 pbc="T T T"
K 0.0000 0.0000 0.0000
V 0.0000 2.2155 0.0000
V 2.2155 0.0000 0.0000
Ir 2.2155 2.2155 2.4629
S 0.0000 0.0000 2.4629
```

The total energy is -0.146 hartree per atom.

***

KSb2Ir | PBE-GGA | relaxed

Geometry as extended XYZ:
```
4
Lattice="3.7262 0.0000 0.0000 0.0000 3.7262 0.0000 0.0000 0.0000 8.0625" Properties=species:S:1:pos:R:3 pbc="T T T"
K 0.0000 0.0000 0.0000
Sb 0.0000 0.0000 4.6298
Sb 1.8631 1.8631 2.4979
Ir 1.8631 1.8631 5.1690
```

The total energy is -0.164 hartree per atom. The value obtained for the energy above the lowest structure with this stoichiometry is 384.4 meV per atom.

***

K2SbIr | PBE-GGA | relaxed

Geometry as extended XYZ:
```
4
Lattice="3.8756 -2.2401 0.0000 3.8756 2.2401 0.0000 -2.5123 0.0000 9.5178" Properties=species:S:1:pos:R:3 pbc="T T T"
K 0.0000 0.0000 0.0000
K -0.0016 0.0000 4.8453
Sb 5.1650 0.0000 2.4224
Ir 2.5805 0.0000 2.4213
```

The total energy is -0.142 hartree per atom.

***

KSb8Ir2 | PBE-GGA | relaxed

Geometry as extended XYZ:
```
11
Lattice="4.0752 0.0000 0.0000 -0.0064 8.8040 0.0000 -2.0216 -3.3423 9.3334" Properties=species:S:1:pos:R:3 pbc="T T T"
K 0.0000 0.0000 0.0000
Sb -0.0093 5.1576 1.3977
Sb -0.0054 0.4365 3.8655
Sb 0.0279 -1.8277 6.8223
Sb 0.0179 3.3644 6.9910
Sb 2.0294 2.0972 2.3424
Sb 2.0194 7.2893 2.5110
Sb 2.0526 5.0251 5.4679
Sb 2.0566 0.3040 7.9356
Ir 0.0186 0.8993 6.4108
Ir 2.0287 4.5623 2.9226
```

The total energy is -0.172 hartree per atom.

***

KSb2Ir | PBE-GGA | relaxed

Geometry as extended XYZ:
```
4
Lattice="4.6250 0.0000 0.0000 0.0000 4.6250 0.0000 0.0000 0.0000 4.2896" Properties=species:S:1:pos:R:3 pbc="T T T"
K 0.0000 0.0000 0.0000
Sb 0.0000 2.3125 2.1448
Sb 2.3125 0.0000 2.1448
Ir 2.3125 2.3125 0.0000
```

The total energy is -0.151 hartree per atom. The value obtained for the energy above the lowest structure with this stoichiometry is 734.4 meV per atom.

***

KSb2Ir | PBE-GGA | relaxed

Geometry as extended XYZ:
```
4
Lattice="3.2664 0.0000 0.0000 0.0000 3.2664 0.0000 0.0000 0.0000 9.8506" Properties=species:S:1:pos:R:3 pbc="T T T"
K 0.0000 0.0000 0.0000
Sb 0.0000 0.0000 5.8899
Sb 1.6332 1.6332 2.9197
Ir 1.6332 1.6332 7.2780
```

The total energy is -0.163 hartree per atom. The value obtained for the energy above the lowest structure with this stoichiometry is 422.0 meV per atom.

***

Energy relative to the elements, uncorrected, record by record: 2.175, -0.606, -0.564, 0.170, 0.279, -1.178, 2.486, 0.090, -0.061, 0.025, 0.440, 0.128 eV per atom